The following is a PBE-GGA calculation of a relaxed structure of Er8Te3Se3N, from Alexandria via LeMat-Bulk.

Structure (POSCAR):
```
Er8Te3Se3N
1.0
4.050 2.338 6.935
-4.050 2.338 6.935
0.000 -4.676 6.935
Er Te Se N
8 3 3 1
Direct
0.238 0.238 0.238
0.279 0.707 0.707
0.293 0.293 0.721
0.293 0.721 0.293
0.707 0.279 0.707
0.707 0.707 0.279
0.721 0.293 0.293
0.762 0.762 0.762
0.000 0.500 0.500
0.500 0.000 0.500
0.500 0.500 0.000
0.000 0.000 0.500
0.000 0.500 0.000
0.500 0.000 0.000
0.500 0.500 0.500
```

## Properties
VASP energy in eV per atom: -5.635
Space-group type: R-3m, No. 166
Formation energy from raw total energies in kcal/mol of atoms: -30.5